## CaCd3Pt2 (PBE)

Data for an optimized crystal structure of CaCd3Pt2.

```
data_CaCd3Pt2
_chemical_formula_sum 'Ca2 Cd6 Pt4'
_cell_length_a 4.1266
_cell_length_b 8.5053
_cell_length_c 8.5054
_cell_angle_alpha 65.75
_cell_angle_beta 75.96
_cell_angle_gamma 75.96
_space_group_name_H-M_alt 'P 1'
_space_group_IT_number 1
_space_group_name_Hall 'P 1'
loop_
_atom_site_label
_atom_site_type_symbol
_atom_site_fract_x
_atom_site_fract_y
_atom_site_fract_z
Ca1 Ca 0.8666 0.1333 0.1335
Ca2 Ca 0.1334 0.8667 0.8665
Cd1 Cd 0.3260 0.4683 0.8797
Cd2 Cd 0.0000 0.3469 0.6532
Cd3 Cd 0.6739 0.1205 0.5317
Cd4 Cd 0.3261 0.8795 0.4683
Cd5 Cd 0.0000 0.6531 0.3468
Cd6 Cd 0.6740 0.5317 0.1203
Pt1 Pt 0.5000 0.1411 0.8589
Pt2 Pt 0.5000 0.8589 0.1411
Pt3 Pt 0.8051 0.6949 0.6949
Pt4 Pt 0.1949 0.3051 0.3051
```

Properties
* ΔH_f (0 K): -2.90 eV/f.u.
* DOS(E_F): 4.0 states/eV per cell

=====

## SmAlCd (PBE)

Data for an optimized crystal structure of SmAlCd.

```
data_SmAlCd
_chemical_formula_sum 'Sm2 Al2 Cd2'
_cell_length_a 4.7312
_cell_length_b 6.0369
_cell_length_c 6.0000
_cell_angle_alpha 76.57
_cell_angle_beta 66.78
_cell_angle_gamma 66.93
_space_group_name_H-M_alt 'P 1'
_space_group_IT_number 1
_space_group_name_Hall 'P 1'
loop_
_atom_site_label
_atom_site_type_symbol
_atom_site_fract_x
_atom_site_fract_y
_atom_site_fract_z
Sm1 Sm 0.5307 0.2179 0.7208
Sm2 Sm 0.4693 0.7821 0.2792
Al1 Al 0.1575 0.3741 0.3108
Al2 Al 0.8425 0.6259 0.6892
Cd1 Cd 0.8289 0.2218 0.1204
Cd2 Cd 0.1711 0.7782 0.8796
```

Properties
* ΔH_f (0 K): -1.18 eV/f.u.
* DOS(E_F): 4.3 states/eV per cell

=====

## TcBi2I2 (PBE)

Data for an optimized crystal structure of TcBi2I2.

```
data_TcBi2I2
_chemical_formula_sum 'Tc1 Bi2 I2'
_cell_length_a 4.2115
_cell_length_b 4.2115
_cell_length_c 12.1828
_cell_angle_alpha 80.05
_cell_angle_beta 80.05
_cell_angle_gamma 90.00
_space_group_name_H-M_alt 'P 1'
_space_group_IT_number 1
_space_group_name_Hall 'P 1'
loop_
_atom_site_label
_atom_site_type_symbol
_atom_site_fract_x
_atom_site_fract_y
_atom_site_fract_z
I1 I 0.4243 0.4243 0.1513
I2 I 0.5757 0.5757 0.8487
Bi1 Bi 0.7500 0.2500 0.5000
Bi2 Bi 0.2500 0.7500 0.5000
Tc1 Tc 0.0000 0.0000 0.0000
```

Properties
* ΔE_f (raw): 4.3 eV per formula unit
* E above lowest polymorph: 191.8 meV per atom
* DOS(E_F): 3.8 states/eV per cell

=====

## Pa2ZnSi (PBE)

Data for an optimized crystal structure of Pa2ZnSi.

```
data_Pa2ZnSi
_chemical_formula_sum 'Pa4 Zn2 Si2'
_cell_length_a 6.2271
_cell_length_b 6.0749
_cell_length_c 6.0749
_cell_angle_alpha 63.22
_cell_angle_beta 59.17
_cell_angle_gamma 59.17
_space_group_name_H-M_alt 'P 1'
_space_group_IT_number 1
_space_group_name_Hall 'P 1'
loop_
_atom_site_label
_atom_site_type_symbol
_atom_site_fract_x
_atom_site_fract_y
_atom_site_fract_z
Pa1 Pa 0.2236 0.2764 0.7764
Pa2 Pa 0.2764 0.7236 0.2236
Pa3 Pa 0.7764 0.7236 0.2236
Pa4 Pa 0.7236 0.2764 0.7764
Zn1 Zn 0.2500 0.2004 0.2996
Zn2 Zn 0.7500 0.7996 0.7004
Si1 Si 0.7500 0.2095 0.2905
Si2 Si 0.2500 0.7905 0.7095
```

Properties
* ΔE_f (raw): -0.8 eV per formula unit
* E above lowest polymorph: 0.0 meV per atom
* DOS(E_F): 12.4 states/eV per cell

=====

## KGd2Y (PBE)

Data for an optimized crystal structure of KGd2Y.

```
data_KGd2Y
_chemical_formula_sum 'K1 Gd2 Y1'
_cell_length_a 3.6122
_cell_length_b 3.6122
_cell_length_c 13.4292
_cell_angle_alpha 82.27
_cell_angle_beta 82.27
_cell_angle_gamma 60.00
_space_group_name_H-M_alt 'P 1'
_space_group_IT_number 1
_space_group_name_Hall 'P 1'
loop_
_atom_site_label
_atom_site_type_symbol
_atom_site_fract_x
_atom_site_fract_y
_atom_site_fract_z
Y1 Y 0.5000 0.5000 0.5000
K1 K 0.0000 0.0000 0.0000
Gd1 Gd 0.0956 0.0956 0.7131
Gd2 Gd 0.9044 0.9044 0.2869
```

Properties
* ΔH_f (0 K): 0.88 eV/f.u.
* DOS(E_F): 5.7 states/eV per cell

=====

## CoTcOs2 (PBE)

Data for an optimized crystal structure of CoTcOs2.

```
data_CoTcOs2
_chemical_formula_sum 'Co1 Tc1 Os2'
_cell_length_a 2.6533
_cell_length_b 2.6533
_cell_length_c 8.9164
_cell_angle_alpha 90.00
_cell_angle_beta 90.00
_cell_angle_gamma 116.49
_space_group_name_H-M_alt 'P 1'
_space_group_IT_number 1
_space_group_name_Hall 'P 1'
loop_
_atom_site_label
_atom_site_type_symbol
_atom_site_fract_x
_atom_site_fract_y
_atom_site_fract_z
Co1 Co 0.5000 0.5000 0.7500
Os1 Os 0.0000 0.0000 0.9924
Os2 Os 0.0000 0.0000 0.5076
Tc1 Tc 0.5000 0.5000 0.2500
```

Properties
* E above lowest polymorph: 376.2 meV per atom
* ΔH_f (0 K): 1.91 eV/f.u.
* DOS(E_F): 5.6 states/eV per cell

=====

## YHo6ErSc2 (PBE)

Data for an optimized crystal structure of YHo6ErSc2.

```
data_YHo6ErSc2
_chemical_formula_sum 'Y2 Ho12 Er2 Sc4'
_cell_length_a 9.3074
_cell_length_b 8.6047
_cell_length_c 8.6047
_cell_angle_alpha 117.92
_cell_angle_beta 93.44
_cell_angle_gamma 93.44
_space_group_name_H-M_alt 'P 1'
_space_group_IT_number 1
_space_group_name_Hall 'P 1'
loop_
_atom_site_label
_atom_site_type_symbol
_atom_site_fract_x
_atom_site_fract_y
_atom_site_fract_z
Y1 Y 0.2500 0.9750 0.0250
Y2 Y 0.7500 0.0250 0.9750
Ho1 Ho 0.0541 0.1232 0.7557
Ho2 Ho 0.4459 0.2443 0.8768
Ho3 Ho 0.9459 0.8768 0.2443
Ho4 Ho 0.5541 0.7557 0.1232
Ho5 Ho 0.3178 0.9815 0.4368
Ho6 Ho 0.1822 0.5632 0.0185
Ho7 Ho 0.6822 0.0185 0.5632
Ho8 Ho 0.8178 0.4368 0.9815
Ho9 Ho 0.1174 0.7059 0.4982
Ho10 Ho 0.3826 0.5018 0.2941
Ho11 Ho 0.8826 0.2941 0.5018
Ho12 Ho 0.6174 0.4982 0.7059
Er1 Er 0.2500 0.4087 0.5913
Er2 Er 0.7500 0.5913 0.4087
Sc1 Sc 0.4539 0.8032 0.6921
Sc2 Sc 0.0461 0.3079 0.1968
Sc3 Sc 0.5461 0.1968 0.3079
Sc4 Sc 0.9539 0.6921 0.8032
```

Properties
* ΔH_f (0 K): 1.22 eV/f.u.
* DOS(E_F): 31.7 states/eV per cell

=====

## CeSmAlCu (PBE)

Data for an optimized crystal structure of CeSmAlCu.

```
data_CeSmAlCu
_chemical_formula_sum 'Ce1 Sm1 Al1 Cu1'
_cell_length_a 5.1359
_cell_length_b 5.1359
_cell_length_c 5.1359
_cell_angle_alpha 60.00
_cell_angle_beta 60.00
_cell_angle_gamma 60.00
_space_group_name_H-M_alt 'P 1'
_space_group_IT_number 1
_space_group_name_Hall 'P 1'
loop_
_atom_site_label
_atom_site_type_symbol
_atom_site_fract_x
_atom_site_fract_y
_atom_site_fract_z
Cu1 Cu 0.2500 0.2500 0.2500
Ce1 Ce 0.0000 0.0000 0.0000
Sm1 Sm 0.5000 0.5000 0.5000
Al1 Al 0.7500 0.7500 0.7500
```

Properties
* ΔH_f (0 K): -0.59 eV/f.u.
* DOS(E_F): 9.2 states/eV per cell

=====

## La6ThMg (PBE)

Data for an optimized crystal structure of La6ThMg.

```
data_La6ThMg
_chemical_formula_sum 'La6 Th1 Mg1'
_cell_length_a 5.1761
_cell_length_b 5.1761
_cell_length_c 10.2328
_cell_angle_alpha 90.00
_cell_angle_beta 90.00
_cell_angle_gamma 90.00
_space_group_name_H-M_alt 'P 1'
_space_group_IT_number 1
_space_group_name_Hall 'P 1'
loop_
_atom_site_label
_atom_site_type_symbol
_atom_site_fract_x
_atom_site_fract_y
_atom_site_fract_z
La1 La 0.5000 0.5000 0.0000
La2 La 0.5000 0.5000 0.5000
La3 La 0.5000 0.0000 0.2531
La4 La 0.5000 0.0000 0.7469
La5 La 0.0000 0.5000 0.2531
La6 La 0.0000 0.5000 0.7469
Th1 Th 0.0000 0.0000 0.5000
Mg1 Mg 0.0000 0.0000 0.0000
```

Properties
* ΔH_f (0 K): 0.00 eV/f.u.
* DOS(E_F): 10.4 states/eV per cell

=====

## FeSiNi2 (PBE)

Data for an optimized crystal structure of FeSiNi2.

```
data_FeSiNi2
_chemical_formula_sum 'Fe1 Si1 Ni2'
_cell_length_a 8.0046
_cell_length_b 8.0046
_cell_length_c 8.0046
_cell_angle_alpha 18.61
_cell_angle_beta 18.61
_cell_angle_gamma 18.61
_space_group_name_H-M_alt 'P 1'
_space_group_IT_number 1
_space_group_name_Hall 'P 1'
loop_
_atom_site_label
_atom_site_type_symbol
_atom_site_fract_x
_atom_site_fract_y
_atom_site_fract_z
Fe1 Fe 0.7500 0.7500 0.7500
Ni1 Ni 0.9955 0.9955 0.9955
Ni2 Ni 0.5045 0.5045 0.5045
Si1 Si 0.2500 0.2500 0.2500
```

Properties
* ΔE_f (raw): -0.6 eV per formula unit
* DOS(E_F): 3.6 states/eV per cell

=====

## SrTlAg (PBE)

Data for an optimized crystal structure of SrTlAg.

```
data_SrTlAg
_chemical_formula_sum 'Sr1 Tl1 Ag1'
_cell_length_a 6.0935
_cell_length_b 6.0935
_cell_length_c 6.0935
_cell_angle_alpha 141.75
_cell_angle_beta 141.79
_cell_angle_gamma 55.18
_space_group_name_H-M_alt 'P 1'
_space_group_IT_number 1
_space_group_name_Hall 'P 1'
loop_
_atom_site_label
_atom_site_type_symbol
_atom_site_fract_x
_atom_site_fract_y
_atom_site_fract_z
Sr1 Sr 0.6625 0.6625 0.0000
Tl1 Tl 0.3527 0.3527 0.0000
Ag1 Ag 0.9848 0.9848 0.0000
```

Properties
* ΔH_f (0 K): -0.67 eV/f.u.
* DOS(E_F): 1.0 states/eV per cell

=====

## CsK2TlCd2 (PBE)

Data for an optimized crystal structure of CsK2TlCd2.

```
data_CsK2TlCd2
_chemical_formula_sum 'Cs2 K4 Tl2 Cd4'
_cell_length_a 5.7390
_cell_length_b 9.3635
_cell_length_c 9.8026
_cell_angle_alpha 90.00
_cell_angle_beta 90.00
_cell_angle_gamma 90.00
_space_group_name_H-M_alt 'P 1'
_space_group_IT_number 1
_space_group_name_Hall 'P 1'
loop_
_atom_site_label
_atom_site_type_symbol
_atom_site_fract_x
_atom_site_fract_y
_atom_site_fract_z
Cs1 Cs 0.0000 0.0214 0.4510
Cs2 Cs 0.0000 0.5214 0.5490
K1 K 0.5000 0.0032 0.0960
K2 K 0.0000 0.3553 0.1564
K3 K 0.5000 0.5032 0.9040
K4 K 0.0000 0.8553 0.8436
Tl1 Tl 0.5000 0.1405 0.7166
Tl2 Tl 0.5000 0.6405 0.2834
Cd1 Cd 0.0000 0.2241 0.8176
Cd2 Cd 0.5000 0.3012 0.4029
Cd3 Cd 0.0000 0.7241 0.1824
Cd4 Cd 0.5000 0.8012 0.5971
```

Properties
* ΔH_f (0 K): -0.13 eV/f.u.
* DOS(E_F): 7.7 states/eV per cell